## MoP (PBE)

Data for a relaxed MoP crystal.

Lattice parameters (Å, degrees): 3.0269 3.0269 22.4697 90.00 90.00 120.00
Space group R-3m (No. 166, hexagonal axes)
Symmetry-distinct sites (fractional):
Mo 0.0000 0.0000 0.1173 x6
P 0.0000 0.0000 0.3747 x6

Values from the calculation:
* formation energy: -0.120 eV/atom
* total magnetic moment: 0.000 μB/atom
* DOS at the Fermi energy: 0.450 states/eV/atom